A relaxed MgCd2Au4 crystal. Source: the Alexandria database, functional PBE-GGA.

Calculated values
For the mass density, the calculation gives 12.60 g cm⁻³. Its energy of formation is -23 kJ per mole of atoms. Its density of states at the Fermi level is 0.396 states/eV per atom.

Cell lengths 4.688, 8.111, 14.372 Å; angles 90.00, 90.00, 90.00 degrees
Space group Cmcm (No. 63)
Unique sites:
Mg (0.000, 0.001, 0.250) (multiplicity 4)
Cd (0.000, 0.334, 0.057) (multiplicity 8)
Au (0.000, 0.000, 0.000) (multiplicity 4)
Au (0.000, 0.332, 0.650) (multiplicity 8)
Au (0.000, 0.334, 0.250) (multiplicity 4)